SrIn2Re: optimized geometry, PBE.

SG: C2/m, No. 12
M_tot: 0.00 μB per formula unit
Total energy: -18.0 eV per formula unit

a b c (Å): 5.0360 5.0360 6.5075
angles (deg): 82.72 82.72 35.45
Fractional coordinates of all 4 atoms:
In 0.9861 0.9861 0.0515
In 0.5139 0.5139 0.4485
Sr 0.7500 0.7500 0.7500
Re 0.2500 0.2500 0.2500